Entry 1:
Compound: LiAsPd4
Source: the Alexandria database
Functional: PBE-GGA
Structure: optimized geometry

Computed properties:
Density in g cm⁻³: 9.69
Crystal system: orthorhombic
Total moment in μB per cell: 0.0
DFT formation energy in eV/f.u.: -2.65
Calculated total energy in eV per formula unit: -29.99
DOS(E_F) in states/eV per cell: 5.13

Structure (POSCAR):
```
LiAsPd4
1.0
4.167 0.000 0.000
0.000 4.172 0.000
0.000 0.000 10.007
Pd Li As
8 2 2
Direct
0.500 0.584 0.848 Pd
0.000 0.083 0.850 Pd
0.500 0.584 0.152 Pd
0.000 0.083 0.150 Pd
0.500 0.084 0.348 Pd
0.000 0.583 0.650 Pd
0.000 0.583 0.350 Pd
0.500 0.084 0.652 Pd
0.000 0.583 0.000 Li
0.000 0.083 0.500 Li
0.500 0.084 0.000 As
0.500 0.584 0.500 As
```

***

Entry 2:
Compound: Li2AsPd4
Source: the Alexandria database
Functional: PBE-GGA
Structure: optimized geometry

Computed properties:
Density in g cm⁻³: 8.43
Crystal system: monoclinic
Total moment in μB per cell: 0.0
DFT formation energy in eV/f.u.: -3.12
Calculated total energy in eV per formula unit: -32.36
DOS(E_F) in states/eV per cell: 3.47

Structure (POSCAR):
```
Li2AsPd4
1.0
4.063 0.000 0.000
0.000 5.258 1.441
-2.031 -1.082 4.445
Pd Li As
4 2 1
Direct
0.564 0.253 0.127 Pd
0.436 0.747 0.873 Pd
0.144 0.588 0.289 Pd
0.856 0.412 0.711 Pd
0.725 0.846 0.451 Li
0.275 0.154 0.549 Li
0.000 0.000 0.000 As
```

***

Entry 3:
Compound: Li4AsPd5
Source: the Alexandria database
Functional: PBE-GGA
Structure: optimized geometry

Computed properties:
Density in g cm⁻³: 7.15
Crystal system: tetragonal
Total moment in μB per cell: 0.0
DFT formation energy in eV/f.u.: -3.41
Calculated total energy in eV per formula unit: -41.68
DOS(E_F) in states/eV per cell: 3.55

Structure (POSCAR):
```
Li4AsPd5
1.0
4.688 0.000 0.000
2.344 5.607 0.000
2.344 0.000 5.607
Pd Li As
5 4 1
Direct
0.655 0.326 0.325 Pd
0.981 0.325 0.674 Pd
0.980 0.675 0.326 Pd
0.676 0.000 0.000 Pd
0.306 0.674 0.675 Pd
0.243 0.999 0.388 Li
0.631 0.001 0.612 Li
0.632 0.612 0.999 Li
0.242 0.388 0.001 Li
0.164 0.000 0.000 As
```

***

Entry 4:
Compound: Li2As2Pd
Source: the Alexandria database
Functional: PBE-GGA
Structure: optimized geometry

Computed properties:
Density in g cm⁻³: 5.22
Crystal system: tetragonal
Total moment in μB per cell: 0.0
DFT formation energy in eV/f.u.: -2.87
Calculated total energy in eV per formula unit: -21.19
DOS(E_F) in states/eV per cell: 3.80

Structure (POSCAR):
```
Li2As2Pd
1.0
6.426 0.000 0.000
0.000 6.426 0.000
0.000 0.000 4.162
Pd Li As
2 4 4
Direct
0.000 0.000 0.000 Pd
0.500 0.500 0.000 Pd
0.832 0.332 0.500 Li
0.332 0.168 0.500 Li
0.668 0.832 0.500 Li
0.168 0.668 0.500 Li
0.637 0.137 0.000 As
0.363 0.863 0.000 As
0.863 0.637 0.000 As
0.137 0.363 0.000 As
```

***

Entry 5:
Compound: LiAs2Pd6
Source: the Alexandria database
Functional: PBE-GGA
Structure: optimized geometry

Computed properties:
Density in g cm⁻³: 8.69
Crystal system: tetragonal
Total moment in μB per cell: 0.0
DFT formation energy in eV/f.u.: -2.66
Calculated total energy in eV per formula unit: -45.03
DOS(E_F) in states/eV per cell: 5.87

Structure (POSCAR):
```
LiAs2Pd6
1.0
-0.842 -4.038 -0.379
4.036 -0.872 0.324
-0.846 -0.648 8.793
As Pd Li
2 6 1
Direct
0.500 0.500 0.861 As
0.500 0.500 0.139 As
0.000 0.500 0.283 Pd
0.000 0.000 0.500 Pd
0.500 0.000 0.283 Pd
0.000 0.500 0.717 Pd
0.500 0.000 0.717 Pd
0.500 0.500 0.500 Pd
0.000 0.000 0.000 Li
```

***

Entry 6:
Compound: Li5AsPd4
Source: the Alexandria database
Functional: PBE-GGA
Structure: optimized geometry

Computed properties:
Density in g cm⁻³: 6.40
Crystal system: monoclinic
Total moment in μB per cell: 0.0
DFT formation energy in eV/f.u.: -4.84
Calculated total energy in eV per formula unit: -39.83
DOS(E_F) in states/eV per cell: 3.76

Structure (POSCAR):
```
Li5AsPd4
1.0
4.137 0.000 -1.418
-0.426 5.061 -1.244
-0.043 0.103 6.618
Li Pd As
5 4 1
Direct
0.894 0.606 0.788 Li
0.500 0.500 0.000 Li
0.296 0.200 0.592 Li
0.106 0.394 0.212 Li
0.704 0.800 0.408 Li
0.699 0.290 0.397 Pd
0.096 0.892 0.192 Pd
0.904 0.108 0.808 Pd
0.301 0.710 0.603 Pd
0.500 0.000 0.000 As
```

***

Entry 7:
Compound: Li6AsPd2
Source: the Alexandria database
Functional: PBE-GGA
Structure: optimized geometry

Computed properties:
Density in g cm⁻³: 4.32
Crystal system: trigonal
Total moment in μB per cell: 0.0
DFT formation energy in eV/f.u.: -4.36
Calculated total energy in eV per formula unit: -30.87
DOS(E_F) in states/eV per cell: 2.37

Structure (POSCAR):
```
Li6AsPd2
1.0
-1.928 -0.463 4.640
0.388 -4.959 -0.846
4.771 0.595 1.530
Pd Li As
2 6 1
Direct
0.331 0.331 0.331 Pd
0.669 0.669 0.669 Pd
0.500 0.833 0.167 Li
0.833 0.167 0.500 Li
0.500 0.167 0.833 Li
0.167 0.500 0.833 Li
0.167 0.833 0.500 Li
0.833 0.500 0.167 Li
0.000 0.000 0.000 As
```

***

Entry 8:
Compound: Li3As2Pd
Source: the Alexandria database
Functional: PBE-GGA
Structure: optimized geometry

Computed properties:
Density in g cm⁻³: 4.57
Crystal system: orthorhombic
Total moment in μB per cell: 0.0
DFT formation energy in eV/f.u.: -3.23
Calculated total energy in eV per formula unit: -23.47
DOS(E_F) in states/eV per cell: 5.50

Structure (POSCAR):
```
Li3As2Pd
1.0
5.444 0.000 0.000
0.000 5.633 0.000
-2.722 -2.816 6.560
As Li Pd
4 6 2
Direct
0.636 0.871 0.743 As
0.364 0.129 0.257 As
0.107 0.371 0.743 As
0.893 0.629 0.257 As
0.081 0.829 0.658 Li
0.919 0.171 0.342 Li
0.423 0.671 0.342 Li
0.500 0.250 0.000 Li
0.577 0.329 0.658 Li
0.500 0.750 0.000 Li
0.000 0.250 0.000 Pd
0.000 0.750 0.000 Pd
```

***

Entry 9:
Compound: Li6As2Pd
Source: the Alexandria database
Functional: PBE-GGA
Structure: optimized geometry

Computed properties:
Density in g cm⁻³: 3.73
Crystal system: hexagonal
Total moment in μB per cell: 0.0
DFT formation energy in eV/f.u.: -4.24
Calculated total energy in eV per formula unit: -30.21
DOS(E_F) in states/eV per cell: 1.91

Structure (POSCAR):
```
Li6As2Pd
1.0
-2.401 1.303 -0.945
-3.755 -6.147 1.065
0.552 4.903 5.355
Li As Pd
6 2 1
Direct
0.500 0.000 0.334 Li
0.500 0.334 0.000 Li
0.500 0.334 0.334 Li
0.500 0.666 0.000 Li
0.500 0.000 0.666 Li
0.500 0.666 0.666 Li
0.000 0.333 0.667 As
0.000 0.667 0.333 As
0.000 0.000 0.000 Pd
```

***

Entry 10:
Compound: Li2As2Pd3
Source: the Alexandria database
Functional: PBE-GGA
Structure: optimized geometry

Computed properties:
Density in g cm⁻³: 7.45
Crystal system: triclinic
Total moment in μB per cell: 0.0
DFT formation energy in eV/f.u.: -3.47
Calculated total energy in eV per formula unit: -32.17
DOS(E_F) in states/eV per cell: 2.69

Structure (POSCAR):
```
Li2As2Pd3
1.0
4.167 -0.066 -1.199
-2.293 3.741 0.042
-0.331 -0.114 7.087
Pd As Li
3 2 2
Direct
0.000 0.000 0.000 Pd
0.457 0.730 0.190 Pd
0.543 0.270 0.810 Pd
0.179 0.585 0.757 As
0.821 0.415 0.243 As
0.733 0.866 0.597 Li
0.267 0.134 0.403 Li
```

***

Entry 11:
Compound: Li2AsPd5
Source: the Alexandria database
Functional: PBE-GGA
Structure: optimized geometry

Computed properties:
Density in g cm⁻³: 8.97
Crystal system: orthorhombic
Total moment in μB per cell: 0.0
DFT formation energy in eV/f.u.: -4.02
Calculated total energy in eV per formula unit: -38.46
DOS(E_F) in states/eV per cell: 5.00

Structure (POSCAR):
```
Li2AsPd5
1.0
4.100 0.000 0.000
0.000 5.370 0.000
0.000 0.000 10.439
Pd Li As
10 4 2
Direct
0.000 0.090 0.264 Pd
0.000 0.590 0.236 Pd
0.000 0.000 0.000 Pd
0.000 0.500 0.500 Pd
0.500 0.685 0.892 Pd
0.500 0.815 0.392 Pd
0.000 0.910 0.736 Pd
0.500 0.315 0.108 Pd
0.500 0.185 0.608 Pd
0.000 0.410 0.764 Pd
0.500 0.335 0.359 Li
0.500 0.835 0.141 Li
0.500 0.165 0.859 Li
0.500 0.665 0.641 Li
0.000 0.000 0.500 As
0.000 0.500 0.000 As
```

***

Entry 12:
Compound: Li6AsPd8
Source: the Alexandria database
Functional: PBE-GGA
Structure: optimized geometry

Computed properties:
Density in g cm⁻³: 7.22
Crystal system: trigonal
Total moment in μB per cell: 0.0
DFT formation energy in eV/f.u.: -5.41
Calculated total energy in eV per formula unit: -63.09
DOS(E_F) in states/eV per cell: 5.91

Structure (POSCAR):
```
Li6AsPd8
1.0
5.960 0.004 2.750
1.762 5.694 2.750
0.006 0.004 6.564
Pd Li As
8 6 1
Direct
0.330 0.172 0.865 Pd
0.414 0.414 0.414 Pd
0.828 0.135 0.670 Pd
0.172 0.865 0.330 Pd
0.670 0.828 0.135 Pd
0.586 0.586 0.586 Pd
0.865 0.330 0.172 Pd
0.135 0.670 0.828 Pd
0.281 0.050 0.528 Li
0.950 0.472 0.719 Li
0.050 0.528 0.281 Li
0.528 0.281 0.050 Li
0.719 0.950 0.472 Li
0.472 0.719 0.950 Li
0.000 0.000 0.000 As
```

***

Entry 13:
Compound: Li4AsPd
Source: the Alexandria database
Functional: PBE-GGA
Structure: optimized geometry

Computed properties:
Density in g cm⁻³: 2.94
Crystal system: tetragonal
Total moment in μB per cell: 0.0
DFT formation energy in eV/f.u.: -2.13
Calculated total energy in eV per formula unit: -19.63
DOS(E_F) in states/eV per cell: 3.48

Structure (POSCAR):
```
Li4AsPd
1.0
7.033 -1.414 0.000
-4.134 5.863 0.000
-1.450 -2.224 6.664
Li Pd As
8 2 2
Direct
0.248 0.985 0.736 Li
0.735 0.498 0.236 Li
0.754 0.020 0.266 Li
0.248 0.512 0.264 Li
0.262 0.498 0.764 Li
0.754 0.488 0.734 Li
0.238 0.004 0.234 Li
0.770 0.004 0.766 Li
0.496 0.996 0.500 Pd
0.746 0.746 0.000 Pd
0.249 0.249 0.000 As
0.999 0.499 0.500 As
```

***

Entry 14:
Compound: LiAs2Pd4
Source: the Alexandria database
Functional: PBE-GGA
Structure: optimized geometry

Computed properties:
Density in g cm⁻³: 8.80
Crystal system: tetragonal
Total moment in μB per cell: 0.0
DFT formation energy in eV/f.u.: -2.90
Calculated total energy in eV per formula unit: -34.88
DOS(E_F) in states/eV per cell: 4.40

Structure (POSCAR):
```
LiAs2Pd4
1.0
4.191 0.000 0.000
0.000 4.191 0.000
0.000 0.000 6.253
Li Pd As
1 4 2
Direct
0.500 0.500 0.000 Li
0.500 0.000 0.741 Pd
0.500 0.000 0.259 Pd
0.000 0.500 0.741 Pd
0.000 0.500 0.259 Pd
0.500 0.500 0.500 As
0.000 0.000 0.000 As
```

***

Entry 15:
Compound: Li5AsPd6
Source: the Alexandria database
Functional: PBE-GGA
Structure: optimized geometry

Computed properties:
Density in g cm⁻³: 7.64
Crystal system: monoclinic
Total moment in μB per cell: 0.0
DFT formation energy in eV/f.u.: -6.01
Calculated total energy in eV per formula unit: -51.39
DOS(E_F) in states/eV per cell: 3.72

Structure (POSCAR):
```
Li5AsPd6
1.0
-4.116 1.063 -0.450
2.999 0.204 -6.700
0.181 -6.210 3.915
Li As Pd
5 1 6
Direct
0.500 0.832 0.168 Li
0.000 0.668 0.332 Li
0.000 0.332 0.668 Li
0.500 0.500 0.500 Li
0.500 0.168 0.832 Li
0.000 0.000 0.000 As
0.250 0.084 0.415 Pd
0.750 0.916 0.585 Pd
0.250 0.415 0.084 Pd
0.750 0.585 0.916 Pd
0.749 0.249 0.249 Pd
0.251 0.751 0.751 Pd
```

***

Entry 16:
Compound: Li3As2Pd4
Source: the Alexandria database
Functional: PBE-GGA
Structure: optimized geometry

Computed properties:
Density in g cm⁻³: 7.26
Crystal system: monoclinic
Total moment in μB per cell: 0.0
DFT formation energy in eV/f.u.: -5.18
Calculated total energy in eV per formula unit: -40.99
DOS(E_F) in states/eV per cell: 2.50

Structure (POSCAR):
```
Li3As2Pd4
1.0
-4.258 0.119 -0.587
-0.685 -1.016 4.763
2.663 7.053 -2.141
As Li Pd
2 3 4
Direct
0.370 0.017 0.740 As
0.630 0.983 0.260 As
0.158 0.708 0.317 Li
0.842 0.292 0.683 Li
0.000 0.000 0.000 Li
0.210 0.290 0.420 Pd
0.565 0.367 0.130 Pd
0.435 0.633 0.870 Pd
0.790 0.710 0.580 Pd
```

***

Entry 17:
Compound: Li5As2Pd5
Source: the Alexandria database
Functional: PBE-GGA
Structure: optimized geometry

Computed properties:
Density in g cm⁻³: 6.54
Crystal system: monoclinic
Total moment in μB per cell: 0.0
DFT formation energy in eV/f.u.: -6.29
Calculated total energy in eV per formula unit: -51.12
DOS(E_F) in states/eV per cell: 5.09

Structure (POSCAR):
```
Li5As2Pd5
1.0
-3.545 0.744 2.334
-0.078 -1.016 4.187
2.691 10.240 4.696
Pd Li As
5 5 2
Direct
0.393 0.393 0.817 Pd
0.144 0.144 0.568 Pd
0.856 0.856 0.432 Pd
0.607 0.607 0.183 Pd
0.000 0.000 0.000 Pd
0.225 0.225 0.326 Li
0.775 0.775 0.674 Li
0.691 0.691 0.926 Li
0.500 0.500 0.500 Li
0.309 0.309 0.074 Li
0.070 0.070 0.783 As
0.930 0.930 0.217 As
```

***

Entry 18:
Compound: LiAsPd6
Source: the Alexandria database
Functional: PBE-GGA
Structure: optimized geometry

Computed properties:
Density in g cm⁻³: 9.43
Crystal system: monoclinic
Total moment in μB per cell: 0.0
DFT formation energy in eV/f.u.: -0.95
Calculated total energy in eV per formula unit: -38.67
DOS(E_F) in states/eV per cell: 4.49

Structure (POSCAR):
```
LiAsPd6
1.0
5.549 0.741 0.000
2.088 5.059 0.000
1.044 2.529 4.784
Li Pd As
1 6 1
Direct
0.000 0.000 0.000 Li
0.754 0.044 0.426 Pd
0.246 0.530 0.426 Pd
0.754 0.470 0.574 Pd
0.246 0.956 0.574 Pd
0.747 0.744 0.000 Pd
0.253 0.256 0.000 Pd
0.500 0.500 0.000 As
```

***

Entry 19:
Compound: Li2AsPd4
Source: the Alexandria database
Functional: PBE-GGA
Structure: optimized geometry

Computed properties:
Density in g cm⁻³: 8.26
Crystal system: tetragonal
Total moment in μB per cell: 0.0
DFT formation energy in eV/f.u.: -3.05
Calculated total energy in eV per formula unit: -32.30
DOS(E_F) in states/eV per cell: 2.18

Structure (POSCAR):
```
Li2AsPd4
1.0
4.831 -0.003 -1.702
-2.409 4.181 -1.718
-0.002 0.003 5.122
Li Pd As
2 4 1
Direct
0.500 0.000 0.500 Li
0.500 0.500 0.000 Li
0.000 0.500 0.000 Pd
0.000 0.000 0.500 Pd
0.500 0.000 0.000 Pd
0.500 0.500 0.500 Pd
0.000 0.000 0.000 As
```

***

Entry 20:
Compound: Li3As2Pd5
Source: the Alexandria database
Functional: PBE-GGA
Structure: optimized geometry

Computed properties:
Density in g cm⁻³: 6.65
Crystal system: orthorhombic
Total moment in μB per cell: 0.0
DFT formation energy in eV/f.u.: -3.03
Calculated total energy in eV per formula unit: -44.04
DOS(E_F) in states/eV per cell: 10.73

Structure (POSCAR):
```
Li3As2Pd5
1.0
5.514 0.000 0.000
2.757 7.867 -1.419
2.757 0.720 7.962
Pd As Li
10 4 6
Direct
0.505 0.245 0.245 Pd
0.750 0.500 0.500 Pd
0.995 0.755 0.755 Pd
0.495 0.755 0.755 Pd
0.250 0.500 0.500 Pd
0.626 0.209 0.539 Pd
0.874 0.461 0.791 Pd
0.374 0.791 0.461 Pd
0.005 0.245 0.245 Pd
0.126 0.539 0.209 Pd
0.136 0.726 0.002 As
0.364 0.998 0.274 As
0.636 0.002 0.726 As
0.864 0.274 0.998 As
0.750 0.000 0.000 Li
0.880 0.833 0.406 Li
0.380 0.406 0.833 Li
0.120 0.167 0.594 Li
0.620 0.594 0.167 Li
0.250 0.000 0.000 Li
```

***

Entry 21:
Compound: Li8AsPd2
Source: the Alexandria database
Functional: PBE-GGA
Structure: optimized geometry

Computed properties:
Density in g cm⁻³: 3.46
Crystal system: monoclinic
Total moment in μB per cell: 0.0
DFT formation energy in eV/f.u.: -4.54
Calculated total energy in eV per formula unit: -34.89
DOS(E_F) in states/eV per cell: 3.59

Structure (POSCAR):
```
Li8AsPd2
1.0
-2.127 -3.533 0.697
4.990 -2.477 2.669
-2.726 4.963 4.289
Pd As Li
2 1 8
Direct
0.213 0.646 0.427 Pd
0.787 0.354 0.573 Pd
0.500 0.000 0.000 As
0.150 0.194 0.301 Li
0.965 0.251 0.931 Li
0.850 0.806 0.699 Li
0.035 0.749 0.069 Li
0.391 0.559 0.781 Li
0.609 0.441 0.219 Li
0.672 0.905 0.345 Li
0.328 0.095 0.655 Li
```

***

Entry 22:
Compound: Li2AsPd4
Source: the Alexandria database
Functional: PBE-GGA
Structure: optimized geometry

Computed properties:
Density in g cm⁻³: 6.26
Crystal system: tetragonal
Total moment in μB per cell: 0.0
DFT formation energy in eV/f.u.: 0.04
Calculated total energy in eV per formula unit: -29.20
DOS(E_F) in states/eV per cell: 3.83

Structure (POSCAR):
```
Li2AsPd4
1.0
4.635 0.000 0.000
0.000 4.635 0.000
2.318 2.318 6.354
Li Pd As
2 4 1
Direct
0.385 0.385 0.231 Li
0.615 0.615 0.769 Li
0.000 0.500 0.000 Pd
0.186 0.186 0.628 Pd
0.814 0.814 0.372 Pd
0.500 0.000 0.000 Pd
0.000 0.000 0.000 As
```